Entry 1:
VASP calculation (PBE-GGA) on crystalline V2IrSe5 at its relaxed geometry.

Geometry as POSCAR:
```
V2IrSe5
1.0
0.0000 6.3778 6.5111
2.3062 0.0000 6.5111
2.3062 6.3778 0.0000
V Ir Se
2 1 5
Direct
0.1928 0.1928 0.8072 V
0.8072 0.8072 0.1928 V
0.5000 0.5000 0.5000 Ir
0.0000 0.0000 0.0000 Se
0.2198 0.4646 0.5354 Se
0.4646 0.2198 0.7802 Se
0.5354 0.7802 0.2198 Se
0.7802 0.5354 0.4646 Se
```

Calculated values
Crystal system   orthorhombic
Energy relative to the elements, uncorrected   -23 kJ per mole of atoms

---

Entry 2:
VASP calculation (PBE-GGA) on crystalline VIr3Se at its relaxed geometry.

Geometry as POSCAR:
```
VIr3Se
1.0
4.5594 0.0000 0.0000
0.0000 4.5594 0.0000
0.0000 0.0000 4.5594
V Ir Se
1 3 1
Direct
0.0000 0.0000 0.0000 V
0.0000 0.0000 0.5000 Ir
0.0000 0.5000 0.0000 Ir
0.5000 0.0000 0.0000 Ir
0.5000 0.5000 0.5000 Se
```

Calculated values
Crystal system   cubic
Energy relative to the elements, uncorrected   133 kJ per mole of atoms

---

Entry 3:
VASP calculation (PBE-GGA) on crystalline V3IrSe at its relaxed geometry.

Geometry as POSCAR:
```
V3IrSe
1.0
4.3971 0.0000 0.0000
0.0000 4.3971 0.0000
0.0000 0.0000 4.3971
V Ir Se
3 1 1
Direct
0.0000 0.0000 0.5000 V
0.0000 0.5000 0.0000 V
0.5000 0.0000 0.0000 V
0.5000 0.5000 0.5000 Ir
0.0000 0.0000 0.0000 Se
```

Calculated values
Crystal system   cubic
Energy relative to the elements, uncorrected   71 kJ per mole of atoms

---

Entry 4:
VASP calculation (PBE-GGA) on crystalline V3IrSe at its relaxed geometry.

Geometry as POSCAR:
```
V3IrSe
1.0
4.7087 0.0000 0.0000
0.0000 4.7087 0.0000
0.0000 0.0000 4.7087
V Ir Se
3 1 1
Direct
0.0000 0.0000 0.5000 V
0.0000 0.5000 0.0000 V
0.5000 0.0000 0.0000 V
0.0000 0.0000 0.0000 Ir
0.5000 0.5000 0.5000 Se
```

Calculated values
Crystal system   cubic
Energy relative to the elements, uncorrected   79 kJ per mole of atoms

---

Entry 5:
VASP calculation (PBE-GGA) on crystalline V2IrSe2 at its relaxed geometry.

Geometry as POSCAR:
```
V2IrSe2
1.0
-2.3812 2.3812 3.7905
2.3812 -2.3812 3.7905
2.3812 2.3812 -3.7905
V Ir Se
2 1 2
Direct
0.2500 0.7500 0.5000 V
0.7500 0.2500 0.5000 V
0.0000 0.0000 0.0000 Ir
0.3204 0.3204 0.0000 Se
0.6796 0.6796 0.0000 Se
```

Calculated values
Crystal system   tetragonal
Energy relative to the elements, uncorrected   16 kJ per mole of atoms

---

Entry 6:
VASP calculation (PBE-GGA) on crystalline V2IrSe2 at its relaxed geometry.

Geometry as POSCAR:
```
V2IrSe2
1.0
-1.8547 1.8547 6.0277
1.8547 -1.8547 6.0277
1.8547 1.8547 -6.0277
V Ir Se
2 1 2
Direct
0.0908 0.0908 0.0000 V
0.9092 0.9092 0.0000 V
0.5000 0.5000 0.0000 Ir
0.2500 0.7500 0.5000 Se
0.7500 0.2500 0.5000 Se
```

Calculated values
Crystal system   tetragonal
Energy relative to the elements, uncorrected   33 kJ per mole of atoms

---

Entry 7:
VASP calculation (PBE-GGA) on crystalline VIrSe4 at its relaxed geometry.

Geometry as POSCAR:
```
VIrSe4
1.0
6.7926 -1.7679 0.0000
6.7926 1.7679 0.0000
-1.1754 0.0000 5.6856
V Ir Se
1 1 4
Direct
0.0000 0.0000 0.0000 V
0.4922 0.4922 0.6025 Ir
0.0904 0.0904 0.4444 Se
0.3973 0.3973 0.1777 Se
0.6246 0.6246 0.9694 Se
0.8677 0.8677 0.6685 Se
```

Calculated values
Crystal system   monoclinic
Energy relative to the elements, uncorrected   -53 kJ per mole of atoms

---

Entry 8:
VASP calculation (PBE-GGA) on crystalline VIrSe4 at its relaxed geometry.

Geometry as POSCAR:
```
VIrSe4
1.0
-4.0793 4.0793 3.8313
4.0793 -4.0793 3.8313
4.0793 4.0793 -3.8313
V Ir Se
2 2 8
Direct
0.0000 0.0000 0.0000 V
0.7500 0.2500 0.5000 V
0.2582 0.7582 0.5000 Ir
0.5082 0.5082 0.0000 Ir
0.1937 0.5005 0.6932 Se
0.2505 0.0573 0.8068 Se
0.2505 0.4437 0.1932 Se
0.3130 0.0076 0.3054 Se
0.7022 0.0076 0.6946 Se
0.7576 0.5630 0.8054 Se
0.7576 0.9522 0.1946 Se
0.8073 0.5005 0.3068 Se
```

Calculated values
Crystal system   tetragonal
Energy relative to the elements, uncorrected   -29 kJ per mole of atoms

---

Number 4 is which compound? V3IrSe